VASP calculation (PBE) on a relaxed ReHg2Pt crystal.

For the energy of formation, the calculation gives 778.7 meV per atom. The value obtained for the magnetic moment is 0.6521 μB per atom. As for the crystal system: tetragonal. As for the offset from the most stable computed form: 0.432 eV per atom.

The structure belongs to space group I4/mmm (No. 139); the cell edges are 4.254, 4.254 and 8.076 Å and the angles 90.00°, 90.00° and 90.00°. The asymmetric unit holds Re at (0.000, 0.000, 0.000), Hg at (0.000, 0.500, 0.250) and Pt at (0.000, 0.000, 0.500).


VASP calculation (PBE) on a relaxed Re2HgPt crystal.

For the energy of formation, the calculation gives 673.9 meV per atom. The value obtained for the magnetic moment is 0.0000 μB per atom. As for the crystal system: orthorhombic.

The structure belongs to space group Cmmm (No. 65); the cell edges are 5.437, 8.701 and 2.757 Å and the angles 90.00°, 90.00° and 90.00°. The asymmetric unit holds Re at (0.250, 0.250, 0.000), Hg at (0.000, 0.000, 0.500) and Pt at (0.000, 0.500, 0.500).


VASP calculation (PBE) on a relaxed Re2HgPt crystal.

For the energy of formation, the calculation gives 470.5 meV per atom. The value obtained for the magnetic moment is 0.0000 μB per atom. As for the crystal system: monoclinic.

The structure belongs to space group C2/m (No. 12); the cell edges are 9.569, 2.813 and 4.897 Å and the angles 90.00°, 99.77° and 90.00°. The asymmetric unit holds Re at (0.243, 0.000, 0.238), Hg at (0.000, 0.000, 0.500) and Pt at (0.000, 0.500, 0.000).


VASP calculation (PBE) on a relaxed ReHg2Pt crystal.

For the energy of formation, the calculation gives 545.4 meV per atom. The value obtained for the magnetic moment is 0.0000 μB per atom. As for the crystal system: trigonal. As for the offset from the most stable computed form: 0.199 eV per atom.

The structure belongs to space group R-3m (No. 166, hexagonal axes); the cell edges are 2.9487, 2.9487 and 28.3782 Å and the angles 90.00°, 90.00° and 120.00°. The asymmetric unit holds Re at (0.0000, 0.0000, 0.0000), Hg at (0.0000, 0.0000, 0.2500) and Pt at (0.0000, 0.0000, 0.5000).


VASP calculation (PBE) on a relaxed Re2HgPt crystal.

For the energy of formation, the calculation gives 566.7 meV per atom. The value obtained for the magnetic moment is 0.0000 μB per atom. As for the crystal system: orthorhombic.

The structure belongs to space group Pmmm (No. 47); the cell edges are 2.767, 4.127 and 5.878 Å and the angles 90.00°, 90.00° and 90.00°. The asymmetric unit holds Re at (0.000, 0.000, 0.211), Hg at (0.500, 0.500, 0.500) and Pt at (0.500, 0.500, 0.000).


VASP calculation (PBE) on a relaxed ReHgPt2 crystal.

For the energy of formation, the calculation gives 419.5 meV per atom. The value obtained for the magnetic moment is 0.0000 μB per atom. As for the crystal system: tetragonal.

The structure belongs to space group I-4m2 (No. 119); the cell edges are 4.103, 4.103 and 7.822 Å and the angles 90.00°, 90.00° and 90.00°. The asymmetric unit holds Re at (0.000, 0.000, 0.000), Hg at (0.000, 0.500, 0.750), Pt at (0.000, 0.000, 0.500) and Pt at (0.000, 0.500, 0.250).


VASP calculation (PBE) on a relaxed ReHgPt2 crystal.

For the energy of formation, the calculation gives 294.8 meV per atom. The value obtained for the magnetic moment is 0.0000 μB per atom. As for the crystal system: monoclinic.

The structure belongs to space group C2/m (No. 12); the cell edges are 9.216, 2.807 and 5.195 Å and the angles 90.00°, 97.60° and 90.00°. The asymmetric unit holds Re at (0.000, 0.000, 0.000), Hg at (0.000, 0.500, 0.500) and Pt at (0.242, 0.500, 0.227).


VASP calculation (PBE) on a relaxed ReHgPt2 crystal.

For the energy of formation, the calculation gives 538.9 meV per atom. The value obtained for the magnetic moment is 0.1829 μB per atom. As for the crystal system: tetragonal.

The structure belongs to space group P4/mmm (No. 123); the cell edges are 3.985, 3.985 and 4.189 Å and the angles 90.00°, 90.00° and 90.00°. The asymmetric unit holds Re at (0.000, 0.000, 0.000), Hg at (0.500, 0.500, 0.000) and Pt at (0.000, 0.500, 0.500).


VASP calculation (PBE) on a relaxed ReHg2Pt crystal.

For the energy of formation, the calculation gives 691.5 meV per atom. The value obtained for the magnetic moment is 0.0006 μB per atom. As for the crystal system: orthorhombic. As for the offset from the most stable computed form: 0.345 eV per atom.

The structure belongs to space group Pmmm (No. 47); the cell edges are 2.835, 4.224 and 5.987 Å and the angles 90.00°, 90.00° and 90.00°. The asymmetric unit holds Re at (0.000, 0.000, 0.000), Hg at (0.500, 0.500, 0.248) and Pt at (0.000, 0.000, 0.500).


VASP calculation (PBE) on a relaxed ReHgPt2 crystal.

For the energy of formation, the calculation gives 528.3 meV per atom. The value obtained for the magnetic moment is 0.1564 μB per atom. As for the crystal system: cubic.

The structure belongs to space group F-43m (No. 216); the cell edges are 6.432, 6.432 and 6.432 Å and the angles 90.00°, 90.00° and 90.00°. The asymmetric unit holds Re at (0.000, 0.000, 0.000), Hg at (0.250, 0.250, 0.750), Pt at (0.000, 0.000, 0.500) and Pt at (0.250, 0.250, 0.250).


VASP calculation (PBE) on a relaxed ReHgPt2 crystal.

For the energy of formation, the calculation gives 227.1 meV per atom. The value obtained for the magnetic moment is 0.0003 μB per atom. As for the crystal system: monoclinic.

The structure belongs to space group Cm (No. 8); the cell edges are 9.349, 2.808 and 5.117 Å and the angles 90.00°, 98.63° and 90.00°. The asymmetric unit holds Re at (0.000, 0.000, 0.000), Hg at (0.246, 0.000, 0.695), Pt at (0.239, 0.500, 0.182) and Pt at (0.490, 0.000, 0.459).


VASP calculation (PBE) on a relaxed Re2HgPt crystal.

For the energy of formation, the calculation gives 473.6 meV per atom. The value obtained for the magnetic moment is 0.0000 μB per atom. As for the crystal system: trigonal.

The structure belongs to space group R-3m (No. 166, hexagonal axes); the cell edges are 2.8278, 2.8278 and 28.2208 Å and the angles 90.00°, 90.00° and 120.00°. The asymmetric unit holds Re at (0.0000, 0.0000, 0.2450), Hg at (0.0000, 0.0000, 0.0000) and Pt at (0.0000, 0.0000, 0.5000).


VASP calculation (PBE) on a relaxed ReHg2Pt crystal.

For the energy of formation, the calculation gives 461.9 meV per atom. The value obtained for the magnetic moment is 0.0000 μB per atom. As for the crystal system: monoclinic. As for the offset from the most stable computed form: 0.116 eV per atom.

The structure belongs to space group Cm (No. 8); the cell edges are 8.858, 2.788 and 8.756 Å and the angles 90.00°, 119.12° and 90.00°. The asymmetric unit holds Re at (0.000, 0.000, 0.000), Hg at (0.128, 0.500, 0.342), Hg at (0.308, 0.000, 0.682) and Pt at (0.280, 0.500, 0.096).


VASP calculation (PBE) on a relaxed Re2HgPt crystal.

For the energy of formation, the calculation gives 651.5 meV per atom. The value obtained for the magnetic moment is 0.0000 μB per atom. As for the crystal system: tetragonal.

The structure belongs to space group P4/mmm (No. 123); the cell edges are 3.859, 3.859 and 4.386 Å and the angles 90.00°, 90.00° and 90.00°. The asymmetric unit holds Re at (0.000, 0.500, 0.000), Hg at (0.000, 0.000, 0.500) and Pt at (0.500, 0.500, 0.500).


VASP calculation (PBE) on a relaxed ReHgPt crystal.

For the energy of formation, the calculation gives 826.8 meV per atom. The value obtained for the magnetic moment is 0.3391 μB per atom. As for the crystal system: cubic. As for the offset from the most stable computed form: 0.491 eV per atom.

The structure belongs to space group F-43m (No. 216); the cell edges are 6.182, 6.182 and 6.182 Å and the angles 90.00°, 90.00° and 90.00°. The asymmetric unit holds Re at (0.000, 0.000, 0.000), Hg at (0.000, 0.000, 0.500) and Pt at (0.250, 0.250, 0.750).